No. 1
A plane-wave DFT calculation with PBE was carried out for a relaxed OsAuS crystal.

As for the polymorph energy (0 for the lowest one): 0.008 eV/atom. As for the uncorrected formation energy: 0.507 eV per formula unit.

The space group is P3m1 (No. 156) and the conventional cell measures 3.0884, 3.0884 and 6.2503 Å, with angles of 90.00, 90.00 and 120.00 degrees. Symmetry generates all atoms from Os at (0.0000, 0.0000, 0.0000), Au at (0.6667, 0.3333, 0.6386) and S at (0.6667, 0.3333, 0.2240).

***

No. 2
A plane-wave DFT calculation with PBE was carried out for a relaxed TaCoMo crystal.

As for the polymorph energy (0 for the lowest one): 0.000 eV/atom. As for the formation energy: -141 meV/atom.

The space group is Ima2 (No. 46) and the conventional cell measures 4.869, 6.046 and 6.050 Å, with angles of 90.00, 90.00 and 90.00 degrees. Symmetry generates all atoms from Ta at (0.250, 0.159, 0.000), Co at (0.000, 0.000, 0.342) and Mo at (0.250, 0.661, 0.182).

***

No. 3
A plane-wave DFT calculation with PBE was carried out for a relaxed HoRuC crystal.

As for the polymorph energy (0 for the lowest one): 0.000 eV/atom. As for the formation energy: -226 meV/atom.

The space group is C2/m (No. 12) and the conventional cell measures 11.042, 4.915 and 3.939 Å, with angles of 90.00, 110.58 and 90.00 degrees. Symmetry generates all atoms from Ho at (0.144, 0.000, 0.390), Ru at (0.086, 0.500, 0.835) and C at (0.116, 0.500, 0.365).

***

No. 4
A plane-wave DFT calculation with PBE was carried out for a relaxed LaNdDy2As4 crystal.

As for the formation energy: -1531 meV/atom.

The space group is P2/m (No. 10) and the conventional cell measures 7.308, 4.225 and 7.315 Å, with angles of 90.00, 109.47 and 90.00 degrees. Symmetry generates all atoms from La at (0.000, 0.000, 0.000), Nd at (0.000, 0.500, 0.500), Dy at (0.500, 0.000, 0.500), Dy at (0.500, 0.500, 0.000), As at (0.261, 0.000, 0.752) and As at (0.262, 0.500, 0.256).